*i*
The following is a DFT calculation (PBE-GGA) of a geometry-optimized Mg2FeS2 structure.

**Space-group type**: P4/mbm, No. 127
**Total magnetic moment**: 0.71 μB/atom
**Volume**: 17.36 A^3/atom
**Fermi-level density of states**: 5.59 states/eV/cell

Cell lengths 7.200, 7.200, 3.349 Å; angles 90.00, 90.00, 90.00 degrees
Element x y z (fractional)
Mg 0.146 0.354 0.000
Mg 0.354 0.854 0.000
Mg 0.646 0.146 0.000
Mg 0.854 0.646 0.000
Fe 0.000 0.000 0.000
Fe 0.500 0.500 0.000
S 0.161 0.661 0.500
S 0.339 0.161 0.500
S 0.661 0.839 0.500
S 0.839 0.339 0.500


*ii*
The following is a DFT calculation (PBE-GGA) of a geometry-optimized Mg2FeS2 structure.

**Space-group type**: I4/mmm, No. 139
**Total magnetic moment**: 0.53 μB/atom
**Volume**: 18.61 A^3/atom
**Fermi-level density of states**: 7.20 states/eV/cell

Cell lengths 7.702, 7.702, 7.702 Å; angles 153.15, 153.15, 38.34 degrees
Element x y z (fractional)
Mg 0.105 0.105 0.000
Mg 0.895 0.895 0.000
Fe 0.500 0.500 0.000
S 0.250 0.750 0.500
S 0.750 0.250 0.500


Which structure is the most stable? The one labeled *i*.


*i*
The following is a DFT calculation (PBE-GGA) of a geometry-optimized Mg2FeSb structure.

**Space-group type**: Fm-3m, No. 225
**Total magnetic moment**: 0.66 μB/atom
**Volume**: 19.77 A^3/atom
**Fermi-level density of states**: 5.02 states/eV/cell

Cell lengths 4.818, 4.818, 4.818 Å; angles 60.00, 60.00, 60.00 degrees
Element x y z (fractional)
Mg 0.250 0.250 0.250
Mg 0.750 0.750 0.750
Fe 0.000 0.000 0.000
Sb 0.500 0.500 0.500


*ii*
The following is a DFT calculation (PBE-GGA) of a geometry-optimized Mg2FeSb structure.

**Space-group type**: P4/mmm, No. 123
**Total magnetic moment**: 0.59 μB/atom
**Volume**: 18.76 A^3/atom
**Fermi-level density of states**: 3.80 states/eV/cell

Cell lengths 4.265, 4.265, 4.126 Å; angles 90.00, 90.00, 90.00 degrees
Element x y z (fractional)
Mg 0.000 0.500 0.000
Mg 0.500 0.000 0.000
Fe 0.000 0.000 0.500
Sb 0.500 0.500 0.500


Which structure is the most stable? The one labeled *ii*.


*i*
The following is a DFT calculation (PBE-GGA) of a geometry-optimized Mg2FeSb structure.

**Space-group type**: I-42d, No. 122
**Total magnetic moment**: 0.68 μB/atom
**Volume**: 21.05 A^3/atom
**Fermi-level density of states**: 9.64 states/eV/cell

Cell lengths 10.373, 10.373, 10.373 Å; angles 157.13, 157.13, 32.57 degrees
Element x y z (fractional)
Mg 0.106 0.625 0.981
Mg 0.375 0.356 0.481
Mg 0.644 0.125 0.019
Mg 0.875 0.894 0.519
Fe 0.000 0.000 0.000
Fe 0.750 0.250 0.500
Sb 0.250 0.750 0.500
Sb 0.500 0.500 0.000


*ii*
The following is a DFT calculation (PBE-GGA) of a geometry-optimized Mg2FeSb structure.

**Space-group type**: I-4m2, No. 119
**Total magnetic moment**: 0.63 μB/atom
**Volume**: 18.95 A^3/atom
**Fermi-level density of states**: 2.32 states/eV/cell

Cell lengths 5.286, 5.286, 5.286 Å; angles 133.76, 133.76, 67.47 degrees
Element x y z (fractional)
Mg 0.000 0.000 0.000
Mg 0.750 0.250 0.500
Fe 0.500 0.500 0.000
Sb 0.250 0.750 0.500


*iii*
The following is a DFT calculation (PBE-GGA) of a geometry-optimized Mg2FeSb structure.

**Space-group type**: C2/m, No. 12
**Total magnetic moment**: 0.65 μB/atom
**Volume**: 19.64 A^3/atom
**Fermi-level density of states**: 2.98 states/eV/cell

Cell lengths 5.163, 5.163, 3.169 Å; angles 90.12, 90.12, 111.58 degrees
Element x y z (fractional)
Mg 0.000 0.500 0.000
Mg 0.500 0.000 0.000
Fe 0.000 0.000 0.500
Sb 0.500 0.500 0.500


*iv*
The following is a DFT calculation (PBE-GGA) of a geometry-optimized Mg2FeSb structure.

**Space-group type**: R-3m, No. 166
**Total magnetic moment**: 0.61 μB/atom
**Volume**: 20.33 A^3/atom
**Fermi-level density of states**: 1.72 states/eV/cell

Cell lengths 9.283, 9.283, 9.283 Å; angles 19.93, 19.93, 19.93 degrees
Element x y z (fractional)
Mg 0.242 0.242 0.242
Mg 0.758 0.758 0.758
Fe 0.500 0.500 0.500
Sb 0.000 0.000 0.000


Which structure is the most stable? The one labeled *ii*.


*i*
The following is a DFT calculation (PBE-GGA) of a geometry-optimized Mg2Sc2Fe structure.

**Space-group type**: I4/mmm, No. 139
**Total magnetic moment**: 0.41 μB/atom
**Volume**: 22.45 A^3/atom
**Fermi-level density of states**: 7.37 states/eV/cell

Cell lengths 7.971, 7.971, 7.971 Å; angles 151.88, 151.88, 40.19 degrees
Element x y z (fractional)
Mg 0.089 0.089 0.000
Mg 0.911 0.911 0.000
Sc 0.250 0.750 0.500
Sc 0.750 0.250 0.500
Fe 0.500 0.500 0.000


*ii*
The following is a DFT calculation (PBE-GGA) of a geometry-optimized Mg2Sc2Fe structure.

**Space-group type**: I4/mmm, No. 139
**Total magnetic moment**: 0.00 μB/atom
**Volume**: 20.01 A^3/atom
**Fermi-level density of states**: 2.09 states/eV/cell

Cell lengths 10.304, 10.304, 10.304 Å; angles 162.40, 162.40, 25.00 degrees
Element x y z (fractional)
Mg 0.195 0.195 0.000
Mg 0.805 0.805 0.000
Sc 0.426 0.426 0.000
Sc 0.574 0.574 0.000
Fe 0.000 0.000 0.000


Which structure is the most stable? The one labeled *ii*.


*i*
The following is a DFT calculation (PBE-GGA) of a geometry-optimized MgSc4Fe structure.

**Space-group type**: P2_1/c, No. 14
**Total magnetic moment**: 0.00 μB/atom
**Volume**: 23.26 A^3/atom
**Fermi-level density of states**: 10.50 states/eV/cell

Cell lengths 8.068, 6.358, 5.546 Å; angles 90.00, 101.14, 90.00 degrees
Element x y z (fractional)
Mg 0.000 0.000 0.000
Mg 0.000 0.500 0.500
Sc 0.229 0.117 0.569
Sc 0.229 0.383 0.069
Sc 0.377 0.633 0.605
Sc 0.377 0.867 0.105
Sc 0.623 0.133 0.895
Sc 0.623 0.367 0.395
Sc 0.771 0.617 0.931
Sc 0.771 0.883 0.431
Fe 0.500 0.000 0.500
Fe 0.500 0.500 0.000


*ii*
The following is a DFT calculation (PBE-GGA) of a geometry-optimized MgSc4Fe structure.

**Space-group type**: F-43m, No. 216
**Total magnetic moment**: 0.41 μB/atom
**Volume**: 22.64 A^3/atom
**Fermi-level density of states**: 8.84 states/eV/cell

Cell lengths 5.770, 5.770, 5.770 Å; angles 60.00, 60.00, 60.00 degrees
Element x y z (fractional)
Mg 0.000 0.000 0.000
Sc 0.127 0.624 0.624
Sc 0.624 0.127 0.624
Sc 0.624 0.624 0.127
Sc 0.624 0.624 0.624
Fe 0.250 0.250 0.250


Which structure is the most stable? The one labeled *i*.


*i*
The following is a DFT calculation (PBE-GGA) of a geometry-optimized Mg2ScFe2 structure.

**Space-group type**: P4/mbm, No. 127
**Total magnetic moment**: 0.69 μB/atom
**Volume**: 17.49 A^3/atom
**Fermi-level density of states**: 12.74 states/eV/cell

Cell lengths 6.759, 6.759, 3.829 Å; angles 90.00, 90.00, 90.00 degrees
Element x y z (fractional)
Mg 0.168 0.332 0.000
Mg 0.332 0.832 0.000
Mg 0.668 0.168 0.000
Mg 0.832 0.668 0.000
Sc 0.000 0.000 0.500
Sc 0.500 0.500 0.500
Fe 0.119 0.619 0.500
Fe 0.381 0.119 0.500
Fe 0.619 0.881 0.500
Fe 0.881 0.381 0.500


*ii*
The following is a DFT calculation (PBE-GGA) of a geometry-optimized Mg2ScFe2 structure.

**Space-group type**: I4/mmm, No. 139
**Total magnetic moment**: 0.72 μB/atom
**Volume**: 18.04 A^3/atom
**Fermi-level density of states**: 3.56 states/eV/cell

Cell lengths 6.404, 6.404, 6.404 Å; angles 144.01, 144.01, 51.82 degrees
Element x y z (fractional)
Mg 0.250 0.750 0.500
Mg 0.750 0.250 0.500
Sc 0.000 0.000 0.000
Fe 0.410 0.410 0.000
Fe 0.590 0.590 0.000


Which structure is the most stable? The one labeled *i*.


*i*
The following is a DFT calculation (PBE-GGA) of a geometry-optimized MgScFe3 structure.

**Space-group type**: Pm-3m, No. 221
**Total magnetic moment**: 1.30 μB/atom
**Volume**: 17.74 A^3/atom
**Fermi-level density of states**: 5.85 states/eV/cell

Cell lengths 4.459, 4.459, 4.459 Å; angles 90.00, 90.00, 90.00 degrees
Element x y z (fractional)
Mg 0.000 0.000 0.000
Sc 0.500 0.500 0.500
Fe 0.000 0.000 0.500
Fe 0.000 0.500 0.000
Fe 0.500 0.000 0.000


*ii*
The following is a DFT calculation (PBE-GGA) of a geometry-optimized MgScFe3 structure.

**Space-group type**: Pm-3m, No. 221
**Total magnetic moment**: 1.19 μB/atom
**Volume**: 18.04 A^3/atom
**Fermi-level density of states**: 4.26 states/eV/cell

Cell lengths 4.485, 4.485, 4.485 Å; angles 90.00, 90.00, 90.00 degrees
Element x y z (fractional)
Mg 0.000 0.000 0.000
Sc 0.500 0.500 0.500
Fe 0.000 0.500 0.500
Fe 0.500 0.000 0.500
Fe 0.500 0.500 0.000


Which structure is the most stable? The one labeled *i*.


*i*
The following is a DFT calculation (PBE-GGA) of a geometry-optimized MgSc5Fe structure.

**Space-group type**: C2/c, No. 15
**Total magnetic moment**: 0.00 μB/atom
**Volume**: 23.56 A^3/atom
**Fermi-level density of states**: 16.13 states/eV/cell

Cell lengths 6.288, 6.288, 8.879 Å; angles 103.93, 103.93, 90.42 degrees
Element x y z (fractional)
Mg 0.080 0.920 0.750
Mg 0.920 0.080 0.250
Sc 0.154 0.646 0.348
Sc 0.207 0.310 0.999
Sc 0.310 0.207 0.499
Sc 0.354 0.846 0.152
Sc 0.387 0.613 0.750
Sc 0.613 0.387 0.250
Sc 0.646 0.154 0.848
Sc 0.690 0.793 0.501
Sc 0.793 0.690 0.001
Sc 0.846 0.354 0.652
Fe 0.000 0.500 0.500
Fe 0.500 0.000 0.000


*ii*
The following is a DFT calculation (PBE-GGA) of a geometry-optimized MgSc5Fe structure.

**Space-group type**: P4/mmm, No. 123
**Total magnetic moment**: 0.00 μB/atom
**Volume**: 23.47 A^3/atom
**Fermi-level density of states**: 8.88 states/eV/cell

Cell lengths 4.593, 4.593, 7.787 Å; angles 90.00, 90.00, 90.00 degrees
Element x y z (fractional)
Mg 0.000 0.000 0.000
Sc 0.000 0.000 0.500
Sc 0.000 0.500 0.275
Sc 0.000 0.500 0.725
Sc 0.500 0.000 0.275
Sc 0.500 0.000 0.725
Fe 0.500 0.500 0.500


Which structure is the most stable? The one labeled *i*.